DFT (meta-GGA SCAN) results for a PBEsol-optimized structure of Zr4TaTl.

abc: 5.637 5.637 5.637
angles: 60.00 60.00 60.00
Sites, in units of the cell vectors:
Zr1 0.378 0.378 0.378
Zr2 0.378 0.867 0.378
Zr3 0.867 0.378 0.378
Tl1 0.000 0.000 0.000
Ta1 0.750 0.750 0.750
Zr4 0.378 0.378 0.867

## Properties
DFT total energy = -3.1744 Ry/atom
density of states at the Fermi level = 7.55 states/eV/cell

***

DFT (meta-GGA SCAN) results for a PBEsol-optimized structure of ZrTa2Tl.

abc: 2.978 2.978 9.411
angles: 90.00 90.00 108.12
Sites, in units of the cell vectors:
Ta1 0.000 0.000 0.992
Ta2 0.500 0.500 0.765
Tl1 0.000 0.000 0.507
Zr1 0.500 0.500 0.236

## Properties
DFT total energy = -4.3304 Ry/atom
density of states at the Fermi level = 4.16 states/eV/cell

***

DFT (meta-GGA SCAN) results for a PBEsol-optimized structure of TaW2.

abc: 3.190 4.497 6.960
angles: 90.00 103.25 90.00
Sites, in units of the cell vectors:
W1 0.586 0.750 0.172
Ta1 0.083 0.250 0.166
W2 0.247 0.750 0.495
Ta2 0.917 0.750 0.834
W3 0.753 0.250 0.505
W4 0.414 0.250 0.828

## Properties
DFT total energy = -5.0545 Ry/atom
density of states at the Fermi level = 2.31 states/eV/cell

***

DFT (meta-GGA SCAN) results for a PBEsol-optimized structure of Ta5W.

abc: 3.237 4.625 7.093
angles: 90.00 103.19 90.00
Sites, in units of the cell vectors:
Ta1 0.500 0.000 0.000
W1 0.000 0.500 0.000
Ta2 0.663 0.500 0.326
Ta3 0.167 0.000 0.335
Ta4 0.833 0.000 0.665
Ta5 0.337 0.500 0.674

## Properties
DFT total energy = -4.9342 Ry/atom
density of states at the Fermi level = 6.86 states/eV/cell